A plane-wave DFT calculation with PBE-GGA was carried out for a geometry-optimized ErHf5 structure.

## Properties
The value obtained for the calculated density is 12.6 Mg/m³. The value obtained for the formation energy is 130.6 meV per atom.

a = 4.5188 Å, b = 4.5487 Å, c = 7.1820 Å
α = 108.46°, β = 90.00°, γ = 90.00°
With the nearest neighbours (Å) after each atom.
Positions (direct):
Hf 0.5000 0.8299 0.6597  10 Hf 3.13-3.25, 2 Er 3.24
Hf 0.0000 0.6710 0.3421  10 Hf 3.13-3.25, 2 Er 3.26
Hf 0.5000 0.5000 0.0000  4 Er 3.21, 8 Hf 3.25
Hf 0.0000 0.3290 0.6579  10 Hf 3.13-3.25, 2 Er 3.26
Hf 0.5000 0.1701 0.3403  10 Hf 3.13-3.25, 2 Er 3.24
Er 0.0000 0.0000 0.0000  12 Hf 3.21-3.26